Density functional theory data (SCAN) for a crystal of KNi2Hg2 relaxed with PBEsol.

abc: 4.0594 4.0594 12.2950
angles: 90.00 90.00 90.00
Fractional positions:
K: 0.0000 0.0000 0.0000
K: 0.5000 0.5000 0.5000
Ni: 0.0000 0.5000 0.2500
Ni: 0.0000 0.5000 0.7500
Ni: 0.5000 0.0000 0.2500
Ni: 0.5000 0.0000 0.7500
Hg: 0.0000 0.0000 0.3799
Hg: 0.0000 0.0000 0.6201
Hg: 0.5000 0.5000 0.1201
Hg: 0.5000 0.5000 0.8799

## Properties
Its symmetry is I4/mmm, No. 139. As for the density of states at the Fermi level: 5.46 states/eV per cell. For the formation energy, the calculation gives 0.263 eV per atom. For the uncorrected energy, the calculation gives -35.138 eV/atom.